# 1
DFT (PBE) results for crystalline ZrB2Cl at its relaxed geometry.

Properties
- M_tot (μB per cell) = 0.00
- formation energy (no corrections) (eV/atom) = 1.079

Cell lengths 5.784, 5.784, 6.815 Å; angles 90.00, 90.00, 90.00 degrees
Space group I-42d (No. 122)
Symmetry-distinct sites (fractional):
Zr (0.000, 0.000, 0.000)
B (0.191, 0.250, 0.625)
Cl (0.000, 0.000, 0.500)

=====

# 2
DFT (PBE) results for crystalline Rb3CuTe at its relaxed geometry.

Properties
- M_tot (μB per cell) = 0.00
- formation energy (no corrections) (eV/atom) = -0.222

Cell lengths 6.941, 6.941, 6.941 Å; angles 90.00, 90.00, 90.00 degrees
Space group Pm-3m (No. 221)
Symmetry-distinct sites (fractional):
Rb (0.000, 0.000, 0.500)
Cu (0.500, 0.500, 0.500)
Te (0.000, 0.000, 0.000)

=====

# 3
DFT (PBE) results for crystalline BaCoTe2 at its relaxed geometry.

Properties
- M_tot (μB per cell) = 3.00
- formation energy (no corrections) (eV/atom) = -0.548

Cell lengths 4.1923, 4.1923, 22.2279 Å; angles 90.00, 90.00, 120.00 degrees
Space group R3m (No. 160, hexagonal axes)
Symmetry-distinct sites (fractional):
Ba (0.0000, 0.0000, 0.0000)
Co (0.0000, 0.0000, 0.1699)
Te (0.0000, 0.0000, 0.5563)
Te (0.0000, 0.0000, 0.7780)

=====

# 4
DFT (PBE) results for crystalline AcNd2Y at its relaxed geometry.

Properties
- M_tot (μB per cell) = 5.54
- ΔE_f (eV per atom) = 0.155

Cell lengths 8.408, 8.408, 8.408 Å; angles 90.00, 90.00, 90.00 degrees
Space group Fm-3m (No. 225)
Symmetry-distinct sites (fractional):
Ac (0.000, 0.000, 0.000)
Nd (0.250, 0.250, 0.250)
Y (0.000, 0.000, 0.500)

=====

# 5
DFT (PBE) results for crystalline Y2HfAsPt at its relaxed geometry.

Properties
- M_tot (μB per cell) = 0.00
- ΔE_f (eV per atom) = -0.295

Cell lengths 5.420, 5.420, 4.975 Å; angles 90.00, 90.00, 90.00 degrees
Space group P4/mmm (No. 123)
Symmetry-distinct sites (fractional):
Y (0.000, 0.500, 0.000)
Hf (0.000, 0.000, 0.500)
As (0.500, 0.500, 0.500)
Pt (0.000, 0.000, 0.000)

=====

# 6
DFT (PBE) results for crystalline PrZn3Au2 at its relaxed geometry.

Properties
- M_tot (μB per cell) = 0.00
- ΔE_f (eV per atom) = -0.427

Cell lengths 16.458, 4.279, 7.724 Å; angles 90.00, 116.87, 90.00 degrees
Space group C2/m (No. 12)
Symmetry-distinct sites (fractional):
Pr (0.141, 0.000, 0.055)
Zn (0.044, 0.000, 0.397)
Zn (0.101, 0.500, 0.681)
Zn (0.191, 0.500, 0.465)
Au (0.022, 0.500, 0.192)
Au (0.206, 0.000, 0.718)